The following is a PBE calculation of a relaxed KCa crystal, from Alexandria via LeMat-Bulk.

Summary:
- E_tot: -0.051 Ha/atom
- Symmetry: No. 187
- Mass density: 1.2 Mg/m³
- DFT formation energy: 0.165 eV per atom
- Total magnetization: 0.00 Bohr magnetons per cell

a = 4.1012 Å, b = 4.1012 Å, c = 7.2545 Å
α = 90.00°, β = 90.00°, γ = 120.00°
Fractional coordinates of all 2 atoms:
K: 0.3333 0.6667 0.5000
Ca: 0.0000 0.0000 0.0000

---

The following is a PBE calculation of a relaxed La6TlCo2 crystal, from Alexandria via LeMat-Bulk.

Summary:
- E_tot: -0.195 Ha/atom
- Symmetry: No. 12
- Energy above the most stable polymorph in this dataset: 2.24 kJ/mol of atoms
- Mass density: 7.5 Mg/m³
- DFT formation energy: -0.167 eV per atom
- Total magnetization: 0.00 Bohr magnetons per cell

a = 4.9338 Å, b = 6.2242 Å, c = 9.1768 Å
α = 95.14°, β = 90.00°, γ = 113.35°
Fractional coordinates of all 9 atoms:
La: 0.3951 0.7902 0.8232
La: 0.7051 0.4102 0.6160
La: 0.0991 0.1982 0.8684
La: 0.6049 0.2098 0.1768
La: 0.2949 0.5898 0.3840
La: 0.9009 0.8018 0.1316
Co: 0.7448 0.4895 0.8821
Co: 0.2552 0.5105 0.1179
Tl: 0.0000 0.0000 0.5000

---

The following is a PBE calculation of a relaxed U2ZnRe crystal, from Alexandria via LeMat-Bulk.

Summary:
- E_tot: -0.328 Ha/atom
- Symmetry: No. 123
- Mass density: 15.7 Mg/m³
- DFT formation energy: 0.150 eV per atom
- Total magnetization: 1.13 Bohr magnetons per cell

a = 2.9942 Å, b = 2.9942 Å, c = 8.5757 Å
α = 90.00°, β = 90.00°, γ = 90.00°
Fractional coordinates of all 4 atoms:
U: 0.0000 0.0000 0.2320
U: 0.0000 0.0000 0.7680
Zn: 0.5000 0.5000 0.5000
Re: 0.5000 0.5000 0.0000